Here is crystalline BaSn2S4 at its relaxed geometry from Alexandria. Energies are from GGA-PBE.

Energy above the lowest structure with this stoichiometry: 31.5 meV per atom
DOS(E_F): 0.2510 states/eV/atom
ΔE_f (raw): -869 meV/atom

The structure in CIF format:
```
data_BaSn2S4
_chemical_formula_sum 'Ba4 Sn8 S16'
_cell_length_a 4.121
_cell_length_b 12.763
_cell_length_c 13.684
_cell_angle_alpha 90.00
_cell_angle_beta 90.00
_cell_angle_gamma 90.00
_symmetry_space_group_name_H-M 'C m c m'
_symmetry_Int_Tables_number 63
_symmetry_space_group_name_Hall '-C 2c 2'
loop_
_atom_site_label
_atom_site_type_symbol
_atom_site_fract_x
_atom_site_fract_y
_atom_site_fract_z
Ba1 Ba 0.000 0.106 0.250
Sn1 Sn 0.000 0.368 0.064
S1 S 0.000 0.000 0.000
S2 S 0.000 0.271 0.605
S3 S 0.000 0.419 0.250
```